a.
# PBE CaZrB3, optimized geometry
data_CaZrB3
_symmetry_space_group_name_H-M 'P m -3 m'
_symmetry_Int_Tables_number 221
_symmetry_space_group_name_Hall '-P 4 2 3'
_cell_length_a 4.475
_cell_length_b 4.475
_cell_length_c 4.475
_cell_angle_alpha 90.00
_cell_angle_beta 90.00
_cell_angle_gamma 90.00
loop_
_atom_site_label
_atom_site_fract_x
_atom_site_fract_y
_atom_site_fract_z
Ca1 0.000 0.000 0.000
Zr1 0.500 0.500 0.500
B1 0.000 0.500 0.500
# - M_tot (μB/f.u.) = 0.00


b.
# PBE CaZrB3, optimized geometry
data_CaZrB3
_symmetry_space_group_name_H-M 'P m -3 m'
_symmetry_Int_Tables_number 221
_symmetry_space_group_name_Hall '-P 4 2 3'
_cell_length_a 4.257
_cell_length_b 4.257
_cell_length_c 4.257
_cell_angle_alpha 90.00
_cell_angle_beta 90.00
_cell_angle_gamma 90.00
loop_
_atom_site_label
_atom_site_fract_x
_atom_site_fract_y
_atom_site_fract_z
Ca1 0.000 0.000 0.000
Zr1 0.500 0.500 0.500
B1 0.000 0.000 0.500
# - M_tot (μB/f.u.) = 0.95


Relative energies, in meV/atom, with the most stable structure set to zero: a 0; b 1031.